Cd7Pd2Au3 | PBE-GGA | optimized geometry

a = 4.216 Å, b = 28.287 Å, c = 4.219 Å
α = 90.00°, β = 90.00°, γ = 90.00°
Space group Cmmm (No. 65)
One atom of each set of equivalent atoms:
Cd1 0.000 0.000 0.000
Cd2 0.000 0.080 0.500
Cd3 0.000 0.283 0.000
Cd4 0.000 0.421 0.000
Pd1 0.000 0.151 0.000
Au1 0.000 0.349 0.500
Au2 0.000 0.500 0.500

Calculated values
Size of the total moment in μB/f.u.: 0.0
Formation energy in kcal/mol of atoms: -2.8
Calculated density in Mg/m³: 10.50



Sm4Ag2Sn | PBE-GGA | optimized geometry

a = 7.415 Å, b = 7.417 Å, c = 8.337 Å
α = 106.08°, β = 106.10°, γ = 103.10°
Space group P1 (No. 1)
One atom of each set of equivalent atoms:
Sm1 0.000 0.000 0.000
Sm2 0.027 0.471 0.943
Sm3 0.158 0.768 0.647
Sm4 0.342 0.157 0.443
Sm5 0.476 0.682 0.366
Sm6 0.554 0.606 0.865
Sm7 0.638 0.288 0.147
Sm8 0.870 0.128 0.499
Ag1 0.086 0.399 0.322
Ag2 0.270 0.217 0.822
Ag3 0.390 0.881 0.093
Ag4 0.752 0.518 0.593
Sn1 0.618 0.055 0.754
Sn2 0.926 0.747 0.254

Calculated values
Size of the total moment in μB/f.u.: 0.0
Formation energy in kcal/mol of atoms: -7.2
Calculated density in Mg/m³: 7.77
E above lowest polymorph in meV/atom: 0.0



GaPdSe2N | PBE-GGA | optimized geometry

a = 5.271 Å, b = 5.271 Å, c = 3.683 Å
α = 90.00°, β = 90.00°, γ = 90.00°
Space group P4/mmm (No. 123)
One atom of each set of equivalent atoms:
Ga1 0.000 0.000 0.000
Pd1 0.500 0.500 0.500
Se1 0.000 0.500 0.500
N1 0.500 0.500 0.000

Calculated values
E_form (uncorrected) in meV/atom: 620.5
Size of the total moment in μB/f.u.: 0.3
Calculated density in Mg/m³: 5.65
E above lowest polymorph in meV/atom: 0.0



AuC2 | PBE-GGA | optimized geometry

a = 3.4052 Å, b = 3.4052 Å, c = 12.2935 Å
α = 90.00°, β = 90.00°, γ = 120.00°
Space group P-3m1 (No. 164)
One atom of each set of equivalent atoms:
Au1 0.0000 0.0000 0.0000
Au2 0.3333 0.6667 0.3561
C1 0.0000 0.0000 0.4463
C2 0.3333 0.6667 0.0899
C3 0.3333 0.6667 0.1937

Calculated values
Size of the total moment in μB/f.u.: 0.0
Formation energy in kcal/mol of atoms: 36.3
Calculated density in Mg/m³: 8.92
E above lowest polymorph in meV/atom: 1309.7



Question: Look up the size of the total moment of the second one.
Answer: 0.0 μB/f.u.



Question: Which value of calculated density does entry 3 give?
Answer: 5.65 Mg/m³



Question: Which value of size of the total moment does entry 1 give?
Answer: 0.0 μB/f.u.



Question: Which of these has the lowest calculated density?
Answer: GaPdSe2N